Y12Tm7Sn: optimized geometry, PBE.

Cell: 13.4952 13.4952 11.8400 Å, 90.00 90.00 120.00°
Space group R-3 (No. 148, hexagonal axes)
Unique sites:
Y 0.0000 0.2606 0.0000
Y 0.0860 0.1729 0.7527
Tm 0.0000 0.0000 0.0000
Tm 0.0550 0.5277 0.1250
Sn 0.0000 0.0000 0.5000

electronic total energy = -5.643 eV per atom
spin magnetization = 0.00 Bohr magnetons per cell